Below is crystalline AcTlF2 at its relaxed geometry, with properties calculated at the PBE-GGA level.

Unit cell a=4.299 b=4.299 c=19.728 alpha=90.00 beta=90.00 gamma=120.00
Positions (direct):
Ac  0.000  0.000  0.000
Ac  0.333  0.667  0.667
Ac  0.667  0.333  0.333
Tl  0.000  0.000  0.500
Tl  0.333  0.667  0.167
Tl  0.667  0.333  0.833
F  0.000  0.000  0.312
F  0.000  0.000  0.688
F  0.333  0.667  0.355
F  0.333  0.667  0.979
F  0.667  0.333  0.021
F  0.667  0.333  0.645

Total energy (eV per cell): -61.99
E_form (uncorrected) (eV per atom): -2.61